The following is a PBE-GGA calculation of crystalline MnIn2Pd at its relaxed geometry, from the Alexandria database.

The structure in CIF format:
```
data_MnIn2Pd
_symmetry_space_group_name_H-M 'F m -3 m'
_symmetry_Int_Tables_number 225
_symmetry_space_group_name_Hall '-F 4 2 3'
_cell_length_a 6.6183
_cell_length_b 6.6183
_cell_length_c 6.6183
_cell_angle_alpha 90.00
_cell_angle_beta 90.00
_cell_angle_gamma 90.00
loop_
_atom_site_label
_atom_site_type_symbol
_atom_site_fract_x
_atom_site_fract_y
_atom_site_fract_z
_atom_site_occupancy
Mn1 Mn 0.0000 0.0000 0.0000 1
In1 In 0.2500 0.2500 0.2500 1
Pd1 Pd 0.0000 0.0000 0.5000 1
```

Energy (eV per atom): -5.061
Energy of formation (eV/atom): -0.10